[1]
VASP calculation (PBE-GGA) on a geometry-optimized W4Se5 structure. Values from VASP.

Values from the calculation:
The value obtained for the uncorrected formation energy is 0.697 eV/atom. The symmetry is P6_3/mcm (193). For the offset from the most stable computed form, the calculation gives 4.9 meV/atom. The total magnetization is 0.120 μB/atom.

Structure (Quantum ESPRESSO input):
```
&SYSTEM
  ibrav = 0, nat = 18, ntyp = 2
/
ATOMIC_SPECIES
W 183.84 W.upf
Se 78.96 Se.upf
CELL_PARAMETERS angstrom
7.552 0.000 0.000
-3.776 6.540 0.000
0.000 0.000 6.337
ATOMIC_POSITIONS crystal
W 0.000 0.000 0.000
W 0.000 0.000 0.500
W 0.000 0.362 0.250
W 0.000 0.638 0.750
W 0.362 0.000 0.250
W 0.362 0.362 0.750
W 0.638 0.000 0.750
W 0.638 0.638 0.250
Se 0.000 0.286 0.750
Se 0.000 0.714 0.250
Se 0.286 0.000 0.750
Se 0.286 0.286 0.250
Se 0.333 0.667 0.000
Se 0.333 0.667 0.500
Se 0.667 0.333 0.000
Se 0.667 0.333 0.500
Se 0.714 0.000 0.250
Se 0.714 0.714 0.750
```

[2]
VASP calculation (PBE-GGA) on a geometry-optimized WSe structure. Values from VASP.

Values from the calculation:
The value obtained for the uncorrected formation energy is 0.482 eV/atom. The symmetry is P2_12_12_1 (19). For the offset from the most stable computed form, the calculation gives 649.5 meV/atom. The total magnetization is 0.000 μB/atom.

Structure (Quantum ESPRESSO input):
```
&SYSTEM
  ibrav = 0, nat = 16, ntyp = 2
/
ATOMIC_SPECIES
W 183.84 W.upf
Se 78.96 Se.upf
CELL_PARAMETERS angstrom
5.878 0.000 0.000
0.000 6.472 0.000
0.000 0.000 8.770
ATOMIC_POSITIONS crystal
W 0.053 0.076 0.263
W 0.245 0.595 0.930
W 0.255 0.405 0.430
W 0.447 0.924 0.763
W 0.553 0.424 0.737
W 0.745 0.905 0.070
W 0.755 0.095 0.570
W 0.947 0.576 0.237
Se 0.178 0.077 0.562
Se 0.204 0.633 0.652
Se 0.296 0.367 0.152
Se 0.322 0.923 0.062
Se 0.678 0.423 0.438
Se 0.704 0.867 0.348
Se 0.796 0.133 0.848
Se 0.822 0.577 0.938
```

[3]
VASP calculation (PBE-GGA) on a geometry-optimized WSe structure. Values from VASP.

Values from the calculation:
The value obtained for the uncorrected formation energy is -0.079 eV/atom. The symmetry is R-3m (166). For the offset from the most stable computed form, the calculation gives 89.0 meV/atom. The total magnetization is 0.000 μB/atom.

Structure (Quantum ESPRESSO input):
```
&SYSTEM
  ibrav = 0, nat = 4, ntyp = 2
/
ATOMIC_SPECIES
W 183.84 W.upf
Se 78.96 Se.upf
CELL_PARAMETERS angstrom
1.554 0.897 9.675
-1.554 0.897 9.675
0.000 -1.795 9.675
ATOMIC_POSITIONS crystal
W 0.127 0.127 0.127
W 0.873 0.873 0.873
Se 0.399 0.399 0.399
Se 0.601 0.601 0.601
```

[4]
VASP calculation (PBE-GGA) on a geometry-optimized W4Se5 structure. Values from VASP.

Values from the calculation:
The value obtained for the uncorrected formation energy is 0.692 eV/atom. The symmetry is I4/mmm (139). For the offset from the most stable computed form, the calculation gives 0.0 meV/atom. The total magnetization is 0.000 μB/atom.

Structure (Quantum ESPRESSO input):
```
&SYSTEM
  ibrav = 0, nat = 9, ntyp = 2
/
ATOMIC_SPECIES
W 183.84 W.upf
Se 78.96 Se.upf
CELL_PARAMETERS angstrom
-5.057 5.057 1.613
5.057 -5.057 1.613
5.057 5.057 -1.613
ATOMIC_POSITIONS crystal
W 0.000 0.352 0.352
W 0.000 0.648 0.648
W 0.352 0.000 0.352
W 0.648 0.000 0.648
Se 0.000 0.000 0.000
Se 0.335 0.335 0.669
Se 0.335 0.665 0.000
Se 0.665 0.335 0.000
Se 0.665 0.665 0.331
```

[5]
VASP calculation (PBE-GGA) on a geometry-optimized W3Se5 structure. Values from VASP.

Values from the calculation:
The value obtained for the uncorrected formation energy is 0.589 eV/atom. The symmetry is Cmmm (65). For the offset from the most stable computed form, the calculation gives 535.1 meV/atom. The total magnetization is 0.000 μB/atom.

Structure (Quantum ESPRESSO input):
```
&SYSTEM
  ibrav = 0, nat = 8, ntyp = 2
/
ATOMIC_SPECIES
W 183.84 W.upf
Se 78.96 Se.upf
CELL_PARAMETERS angstrom
3.261 -4.822 0.000
3.261 4.822 0.000
0.000 0.000 4.422
ATOMIC_POSITIONS crystal
W 0.000 0.000 0.000
W 0.217 0.783 0.500
W 0.783 0.217 0.500
Se 0.000 0.500 0.000
Se 0.230 0.230 0.500
Se 0.500 0.000 0.000
Se 0.500 0.500 0.000
Se 0.770 0.770 0.500
```

[6]
VASP calculation (PBE-GGA) on a geometry-optimized W2Se3 structure. Values from VASP.

Values from the calculation:
The value obtained for the uncorrected formation energy is -0.019 eV/atom. The symmetry is Fdd2 (43). For the offset from the most stable computed form, the calculation gives 0.0 meV/atom. The total magnetization is 0.000 μB/atom.

Structure (Quantum ESPRESSO input):
```
&SYSTEM
  ibrav = 0, nat = 10, ntyp = 2
/
ATOMIC_SPECIES
W 183.84 W.upf
Se 78.96 Se.upf
CELL_PARAMETERS angstrom
0.000 5.289 3.769
5.226 0.000 3.769
5.226 5.289 0.000
ATOMIC_POSITIONS crystal
W 0.073 0.927 0.154
W 0.096 0.404 0.177
W 0.404 0.096 0.323
W 0.927 0.073 0.846
Se 0.208 0.448 0.436
Se 0.343 0.814 0.802
Se 0.448 0.208 0.907
Se 0.690 0.690 0.310
Se 0.814 0.343 0.042
Se 0.940 0.940 0.560
```

[7]
VASP calculation (PBE-GGA) on a geometry-optimized W2Se3 structure. Values from VASP.

Values from the calculation:
The value obtained for the uncorrected formation energy is 0.147 eV/atom. The symmetry is P-3m1 (164). For the offset from the most stable computed form, the calculation gives 165.8 meV/atom. The total magnetization is 0.000 μB/atom.

Structure (Quantum ESPRESSO input):
```
&SYSTEM
  ibrav = 0, nat = 5, ntyp = 2
/
ATOMIC_SPECIES
W 183.84 W.upf
Se 78.96 Se.upf
CELL_PARAMETERS angstrom
4.356 0.000 0.000
-2.178 3.772 0.000
0.000 0.000 6.986
ATOMIC_POSITIONS crystal
W 0.333 0.667 0.405
W 0.667 0.333 0.595
Se 0.000 0.000 0.500
Se 0.333 0.667 0.772
Se 0.667 0.333 0.228
```

[8]
VASP calculation (PBE-GGA) on a geometry-optimized WSe structure. Values from VASP.

Values from the calculation:
The value obtained for the uncorrected formation energy is 0.521 eV/atom. The symmetry is P2_13 (198). For the offset from the most stable computed form, the calculation gives 688.2 meV/atom. The total magnetization is 0.000 μB/atom.

Structure (Quantum ESPRESSO input):
```
&SYSTEM
  ibrav = 0, nat = 8, ntyp = 2
/
ATOMIC_SPECIES
W 183.84 W.upf
Se 78.96 Se.upf
CELL_PARAMETERS angstrom
5.219 0.000 0.000
0.000 5.219 0.000
0.000 0.000 5.219
ATOMIC_POSITIONS crystal
W 0.077 0.077 0.077
W 0.423 0.923 0.577
W 0.577 0.423 0.923
W 0.923 0.577 0.423
Se 0.151 0.651 0.849
Se 0.349 0.349 0.349
Se 0.651 0.849 0.151
Se 0.849 0.151 0.651
```